# 1
A geometry-optimized SmNbB structure, computed with PBE.

E = -5.370 eV per atom
crystal system = cubic

abc: 6.4426 6.4426 6.4426
angles: 90.00 90.00 90.00
Space group F-43m (No. 216)
Inequivalent atoms, fractional coordinates:
Sm: 0.0000 0.0000 0.0000 [4 per cell]
Nb: 0.2500 0.2500 0.2500 [4 per cell]
B: 0.2500 0.2500 0.7500 [4 per cell]

# 2
A geometry-optimized SmNbB4 structure, computed with PBE.

E = -7.582 eV per atom
crystal system = hexagonal

abc: 3.1633 3.1633 7.4725
angles: 90.00 90.00 120.00
Space group P6/mmm (No. 191)
Inequivalent atoms, fractional coordinates:
Sm: 0.0000 0.0000 0.0000 [1 per cell]
Nb: 0.0000 0.0000 0.5000 [1 per cell]
B: 0.3333 0.6667 0.2779 [4 per cell]

# 3
A geometry-optimized SmNbB structure, computed with PBE.

E = -6.803 eV per atom
crystal system = cubic

abc: 6.0582 6.0582 6.0582
angles: 90.00 90.00 90.00
Space group F-43m (No. 216)
Inequivalent atoms, fractional coordinates:
Sm: 0.0000 0.0000 0.0000 [4 per cell]
Nb: 0.0000 0.0000 0.5000 [4 per cell]
B: 0.2500 0.2500 0.7500 [4 per cell]

# 4
A geometry-optimized Nb3SnB4 structure, computed with PBE.

E = -8.141 eV per atom
crystal system = orthorhombic

abc: 3.0782 3.2350 9.8240
angles: 90.00 90.00 90.00
Space group Pmmm (No. 47)
Inequivalent atoms, fractional coordinates:
Nb: 0.0000 0.0000 0.0000 [1 per cell]
Nb: 0.5000 0.0000 0.2763 [2 per cell]
Sn: 0.0000 0.5000 0.5000 [1 per cell]
B: 0.0000 0.5000 0.1847 [2 per cell]
B: 0.5000 0.5000 0.0972 [2 per cell]